## Nd3H12Ru5 (PBE)

Data for a relaxed Nd3H12Ru5 crystal.

abc: 11.7216 11.7216 11.7216
angles: 90.00 90.00 90.00
Closest atoms and distances in Å follow each position.
Space group Ia-3d (No. 230)
Inequivalent atoms, fractional coordinates:
Nd  0.0000  0.2500  0.1250 (multiplicity 24)  8 H 2.37-2.42
H  0.0400  0.0519  0.6372 (multiplicity 96)  2 Ru 1.76-1.78
Ru  0.0000  0.0000  0.0000 (multiplicity 16)  6 H 1.78
Ru  0.0000  0.2500  0.3750 (multiplicity 24)  4 H 1.76

Total energy = -5.23 eV/atom
N(E_F) = 0.411 states/eV per atom